A:
A relaxed structure of BeAl2Mo2. Source: Alexandria via LeMat-Bulk, functional GGA-PBE.

```
BeAl2Mo2
1.0
6.074 0.000 0.000
0.000 6.074 0.000
0.000 0.000 4.154
Al Mo Be
4 4 2
Cartesian
2.082 0.955 2.077
5.119 2.082 2.077
0.955 3.992 2.077
3.992 5.119 2.077
0.926 2.111 0.000
3.963 0.926 0.000
2.111 5.148 0.000
5.148 3.963 0.000
3.037 3.037 0.000
0.000 0.000 0.000
```

Results
Crystal system ... tetragonal
Space-group type ... No. 127

B:
A relaxed structure of BeAl2Mo2. Source: Alexandria via LeMat-Bulk, functional GGA-PBE.

```
BeAl2Mo2
1.0
-1.111 2.273 5.853
-6.276 -0.581 -0.965
0.106 -3.326 1.312
Al Be Mo
4 2 4
Cartesian
-2.434 0.098 0.446
-1.562 1.367 3.592
-5.825 0.325 1.295
-4.952 1.593 4.441
-3.693 0.846 2.444
0.000 0.000 0.000
-4.329 -1.669 0.997
-5.908 -0.627 3.766
-1.372 -1.008 2.434
-2.951 0.034 5.203
```

Results
Crystal system ... tetragonal
Space-group type ... No. 127

C:
A relaxed structure of BeAl2Mo2. Source: Alexandria via LeMat-Bulk, functional GGA-PBE.

```
BeAl2Mo2
1.0
3.617 0.000 0.000
0.000 3.617 0.000
1.809 1.809 6.560
Mo Be Al
2 1 2
Cartesian
3.617 1.809 3.280
1.809 3.617 3.280
0.000 0.000 0.000
3.617 3.617 5.319
1.809 1.809 1.241
```

Results
Crystal system ... tetragonal
Space-group type ... No. 139

Short version: A is the most stable of them.

A:
A relaxed structure of BeAl2N2. Source: Alexandria via LeMat-Bulk, functional GGA-PBE.

```
BeAl2N2
1.0
5.548 0.000 0.000
0.000 5.548 0.000
0.000 0.000 2.839
N Al Be
4 4 2
Cartesian
4.628 3.694 0.000
3.694 0.920 0.000
1.854 4.628 0.000
0.920 1.854 0.000
4.637 1.863 1.419
3.685 4.637 1.419
0.911 3.685 1.419
1.863 0.911 1.419
0.000 0.000 0.000
2.774 2.774 0.000
```

Results
Crystal system ... tetragonal
Space-group type ... No. 127

B:
A relaxed structure of BeAl2N2. Source: Alexandria via LeMat-Bulk, functional GGA-PBE.

```
BeAl2N2
1.0
-3.152 0.577 2.177
1.436 -2.370 2.708
0.850 2.066 4.129
Al Be N
2 1 2
Cartesian
-1.580 0.874 4.375
0.714 -0.600 4.640
0.000 0.000 0.000
0.099 0.764 3.388
-0.965 -0.490 5.626
```

Results
Crystal system ... tetragonal
Space-group type ... No. 139

Short version: B is the most stable of them.

A:
A relaxed structure of BeAl2N. Source: Alexandria via LeMat-Bulk, functional GGA-PBE.

```
BeAl2N
1.0
0.000 2.864 2.864
2.864 0.000 2.864
2.864 2.864 0.000
Al N Be
2 1 1
Cartesian
1.432 1.432 1.432
4.296 4.296 4.296
2.864 2.864 2.864
0.000 0.000 0.000
```

Results
Crystal system ... cubic
Space-group type ... No. 225

B:
A relaxed structure of BeAl2N. Source: Alexandria via LeMat-Bulk, functional GGA-PBE.

```
BeAl2N
1.0
-1.166 -4.787 1.739
1.971 1.220 4.682
-3.335 -0.430 4.431
Al N Be
4 2 2
Cartesian
-1.650 -3.352 9.291
0.340 0.414 4.122
-2.346 -1.751 5.382
-1.403 -3.304 2.909
-2.049 -3.500 4.690
0.000 0.000 0.000
-0.481 -0.496 6.162
0.403 -1.783 3.210
```

Results
Crystal system ... tetragonal
Space-group type ... No. 122

Short version: B is the most stable of them.

A:
A relaxed structure of BeAlN2. Source: Alexandria via LeMat-Bulk, functional GGA-PBE.

```
BeAlN2
1.0
-2.966 -4.149 2.588
-1.150 -5.547 0.785
-0.197 -4.611 3.377
Al Be N
1 1 2
Cartesian
0.000 0.000 0.000
-2.157 -7.153 3.375
-3.845 -12.751 6.015
-0.469 -1.556 0.734
```

Results
Crystal system ... trigonal
Space-group type ... No. 166

B:
A relaxed structure of BeAlN2. Source: Alexandria via LeMat-Bulk, functional GGA-PBE.

```
BeAlN2
1.0
1.238 0.222 3.305
0.679 3.165 1.425
-2.065 1.257 2.581
Be N Al
1 2 1
Cartesian
0.000 0.000 0.000
-0.111 3.482 5.483
-0.037 1.161 1.828
-0.074 2.322 3.655
```

Results
Crystal system ... cubic
Space-group type ... No. 225

C:
A relaxed structure of BeAlN2. Source: Alexandria via LeMat-Bulk, functional GGA-PBE.

```
BeAlN2
1.0
4.035 0.000 0.000
0.000 4.035 0.000
2.018 2.018 4.522
Be Al N
2 2 4
Cartesian
2.018 4.035 2.261
2.018 2.018 0.000
4.035 2.018 2.261
0.000 0.000 0.000
1.118 3.026 1.131
2.917 1.009 1.131
5.044 4.934 3.392
3.026 3.136 3.392
```

Results
Crystal system ... tetragonal
Space-group type ... No. 122

Short version: C is the most stable of them.

A:
A relaxed structure of BeAlS2N. Source: Alexandria via LeMat-Bulk, functional GGA-PBE.

```
BeAlS2N
1.0
4.563 0.000 0.000
0.000 4.563 0.000
0.000 0.000 3.202
S Be Al N
2 1 1 1
Cartesian
0.000 2.282 0.000
2.282 0.000 0.000
0.000 0.000 0.000
2.282 2.282 1.601
0.000 0.000 1.601
```

Results
Crystal system ... tetragonal
Space-group type ... No. 123

B:
A relaxed structure of BeAlS2N. Source: Alexandria via LeMat-Bulk, functional GGA-PBE.

```
BeAlS2N
1.0
4.710 0.000 0.000
0.000 4.710 0.000
0.000 0.000 3.630
S Be N Al
2 1 1 1
Cartesian
2.355 0.000 0.000
0.000 2.355 0.000
2.355 2.355 1.815
0.000 0.000 1.815
0.000 0.000 0.000
```

Results
Crystal system ... tetragonal
Space-group type ... No. 123

Short version: A is the most stable of them.

A:
A relaxed structure of BeAlTeN2. Source: Alexandria via LeMat-Bulk, functional GGA-PBE.

```
BeAlTeN2
1.0
3.655 0.000 0.000
0.000 3.655 0.000
0.000 0.000 5.553
Be N Te Al
1 2 1 1
Cartesian
0.000 0.000 0.000
0.000 1.828 0.000
1.828 0.000 0.000
0.000 0.000 2.777
1.828 1.828 2.777
```

Results
Crystal system ... tetragonal
Space-group type ... No. 123

B:
A relaxed structure of BeAlTeN2. Source: Alexandria via LeMat-Bulk, functional GGA-PBE.

```
BeAlTeN2
1.0
3.635 0.000 0.000
0.000 3.635 0.000
0.000 0.000 6.554
N Al Be Te
2 1 1 1
Cartesian
0.000 1.817 0.000
1.817 0.000 0.000
0.000 0.000 0.000
1.817 1.817 3.277
0.000 0.000 3.277
```

Results
Crystal system ... tetragonal
Space-group type ... No. 123

Short version: B is the most stable of them.

A:
A relaxed structure of NaBe3Al. Source: Alexandria via LeMat-Bulk, functional GGA-PBE.

```
NaBe3Al
1.0
4.435 0.000 0.000
0.000 4.435 0.000
0.000 0.000 4.435
Be Al Na
3 1 1
Cartesian
0.000 2.217 0.000
0.000 0.000 2.217
2.217 0.000 0.000
0.000 0.000 0.000
2.217 2.217 2.217
```

Results
Crystal system ... cubic
Space-group type ... No. 221

B:
A relaxed structure of NaBe3Al. Source: Alexandria via LeMat-Bulk, functional GGA-PBE.

```
NaBe3Al
1.0
-1.910 2.065 -3.308
-2.407 -3.522 -0.809
-3.068 1.478 2.694
Be Al Na
3 1 1
Cartesian
-0.955 1.033 -1.654
-1.534 0.739 1.347
-1.204 -1.761 -0.405
-3.693 0.011 -0.712
0.000 0.000 0.000
```

Results
Crystal system ... cubic
Space-group type ... No. 221

Short version: A is the most stable of them.

A:
A relaxed structure of BeNbAl3. Source: Alexandria via LeMat-Bulk, functional GGA-PBE.

```
BeNbAl3
1.0
-2.377 -4.195 -1.199
3.088 -2.582 2.912
-3.082 0.648 3.843
Al Nb Be
3 1 1
Cartesian
-1.541 0.324 1.921
1.544 -1.291 1.456
-1.188 -2.098 -0.600
0.000 0.000 0.000
-1.185 -3.065 2.778
```

Results
Crystal system ... cubic
Space-group type ... No. 221

B:
A relaxed structure of BeNbAl3. Source: Alexandria via LeMat-Bulk, functional GGA-PBE.

```
BeNbAl3
1.0
4.296 0.000 0.000
0.000 4.296 0.000
0.000 0.000 4.296
Al Nb Be
3 1 1
Cartesian
2.148 0.000 0.000
0.000 2.148 0.000
0.000 0.000 2.148
2.148 2.148 2.148
0.000 0.000 0.000
```

Results
Crystal system ... cubic
Space-group type ... No. 221

Short version: B is the most stable of them.

A:
A relaxed structure of Be2NbAlSn. Source: Alexandria via LeMat-Bulk, functional GGA-PBE.

```
Be2NbAlSn
1.0
-3.144 -2.883 0.641
0.355 -1.554 -5.250
2.941 -2.967 1.077
Al Be Sn Nb
1 2 1 1
Cartesian
0.177 -0.777 -2.625
-1.572 -1.442 0.321
1.470 -1.483 0.538
0.000 0.000 0.000
0.076 -3.702 -1.766
```

Results
Crystal system ... tetragonal
Space-group type ... No. 123

B:
A relaxed structure of Be2NbAlSn. Source: Alexandria via LeMat-Bulk, functional GGA-PBE.

```
Be2NbAlSn
1.0
4.590 0.000 0.000
0.000 5.026 0.000
0.000 0.000 4.590
Be Nb Sn Al
2 1 1 1
Cartesian
0.000 0.000 2.295
2.295 0.000 0.000
0.000 0.000 0.000
2.295 2.513 2.295
0.000 2.513 0.000
```

Results
Crystal system ... tetragonal
Space-group type ... No. 123

Short version: B is the most stable of them.

A:
A relaxed structure of BeAl3Ni. Source: Alexandria via LeMat-Bulk, functional GGA-PBE.

```
BeAl3Ni
1.0
4.216 0.000 0.000
0.000 4.216 0.000
0.000 0.000 4.216
Al Ni Be
3 1 1
Cartesian
0.000 2.108 0.000
0.000 0.000 2.108
2.108 0.000 0.000
2.108 2.108 2.108
0.000 0.000 0.000
```

Results
Crystal system ... cubic
Space-group type ... No. 221

B:
A relaxed structure of BeAl3Ni. Source: Alexandria via LeMat-Bulk, functional GGA-PBE.

```
BeAl3Ni
1.0
4.446 0.000 0.000
0.000 4.446 0.000
0.000 0.000 4.446
Al Be Ni
3 1 1
Cartesian
0.000 0.000 2.223
0.000 2.223 0.000
2.223 0.000 0.000
2.223 2.223 2.223
0.000 0.000 0.000
```

Results
Crystal system ... cubic
Space-group type ... No. 221

Short version: B is the most stable of them.

A:
A relaxed structure of BeAlNi. Source: Alexandria via LeMat-Bulk, functional GGA-PBE.

```
BeAlNi
1.0
-0.763 3.143 -1.885
-3.385 0.496 -1.519
-2.350 2.528 1.449
Ni Be Al
1 1 1
Cartesian
0.000 0.000 0.000
-4.874 4.625 -1.467
-3.249 3.083 -0.978
```

Results
Crystal system ... cubic
Space-group type ... No. 216

B:
A relaxed structure of BeAlNi. Source: Alexandria via LeMat-Bulk, functional GGA-PBE.

```
BeAlNi
1.0
-1.213 2.736 0.112
-3.307 -1.414 -1.251
-1.044 -2.325 5.387
Al Be Ni
2 2 2
Cartesian
-1.103 -0.514 0.599
-4.460 -0.489 3.649
-2.274 0.525 2.520
-3.289 -1.529 1.728
-2.150 -1.120 4.051
-3.413 0.116 0.197
```

Results
Crystal system ... orthorhombic
Space-group type ... No. 63

Short version: B is the most stable of them.

A:
A relaxed structure of BeAlNi. Source: Alexandria via LeMat-Bulk, functional GGA-PBE.

```
BeAlNi
1.0
-4.062 -1.716 0.666
-2.125 -3.820 0.880
-0.484 -0.157 2.822
Ni Al Be
1 1 1
Cartesian
-4.375 -3.828 1.952
-0.494 -0.167 2.820
-2.285 -1.856 2.419
```

Results
Crystal system ... tetragonal
Space-group type ... No. 107

B:
A relaxed structure of BeAlNi. Source: Alexandria via LeMat-Bulk, functional GGA-PBE.

```
BeAlNi
1.0
3.833 0.000 0.000
-1.917 3.320 0.000
0.000 0.000 2.620
Al Ni Be
1 1 1
Cartesian
0.000 0.000 0.001
0.000 2.213 1.317
1.917 1.107 1.302
```

Results
Crystal system ... trigonal
Space-group type ... No. 156

Short version: A is the most stable of them.